# YZnCo PBE-GGA optimized geometry
data_YZnCo
_symmetry_space_group_name_H-M 'P 1'
_symmetry_Int_Tables_number 1
_cell_length_a 5.349
_cell_length_b 5.349
_cell_length_c 6.863
_cell_angle_alpha 124.06
_cell_angle_beta 124.06
_cell_angle_gamma 44.16
loop_
_symmetry_equiv_pos_as_xyz
'x,y,z'
loop_
_atom_site_label
_atom_site_fract_x
_atom_site_fract_y
_atom_site_fract_z
Y1 0.067 0.067 0.315
Y2 0.933 0.933 0.685
Zn1 0.311 0.311 0.909
Zn2 0.689 0.689 0.091
Co1 0.365 0.365 0.326
Co2 0.635 0.635 0.674
# Formation energy (eV per formula unit): -0.83
# Energy (eV/atom): -5.23

# YZn2Co PBE-GGA optimized geometry
data_YZn2Co
_symmetry_space_group_name_H-M 'P 1'
_symmetry_Int_Tables_number 1
_cell_length_a 3.223
_cell_length_b 3.223
_cell_length_c 6.637
_cell_angle_alpha 90.00
_cell_angle_beta 90.00
_cell_angle_gamma 90.00
loop_
_symmetry_equiv_pos_as_xyz
'x,y,z'
loop_
_atom_site_label
_atom_site_fract_x
_atom_site_fract_y
_atom_site_fract_z
Y1 0.000 0.000 0.000
Zn1 0.000 0.000 0.557
Zn2 0.500 0.500 0.338
Co1 0.500 0.500 0.737
# Formation energy (eV per formula unit): -0.34
# Energy (eV/atom): -4.11

# Y2ZnCo PBE-GGA optimized geometry
data_Y2ZnCo
_symmetry_space_group_name_H-M 'P 1'
_symmetry_Int_Tables_number 1
_cell_length_a 4.225
_cell_length_b 5.671
_cell_length_c 5.671
_cell_angle_alpha 39.84
_cell_angle_beta 90.00
_cell_angle_gamma 90.00
loop_
_symmetry_equiv_pos_as_xyz
'x,y,z'
loop_
_atom_site_label
_atom_site_fract_x
_atom_site_fract_y
_atom_site_fract_z
Y1 0.000 0.000 0.000
Y2 0.500 0.281 0.281
Zn1 0.500 0.574 0.574
Co1 0.000 0.705 0.705
# Formation energy (eV per formula unit): -0.96
# Energy (eV/atom): -5.57

# Y3ZnCo3 PBE-GGA optimized geometry
data_Y3ZnCo3
_symmetry_space_group_name_H-M 'P 1'
_symmetry_Int_Tables_number 1
_cell_length_a 5.366
_cell_length_b 5.366
_cell_length_c 12.939
_cell_angle_alpha 90.00
_cell_angle_beta 90.00
_cell_angle_gamma 134.66
loop_
_symmetry_equiv_pos_as_xyz
'x,y,z'
loop_
_atom_site_label
_atom_site_fract_x
_atom_site_fract_y
_atom_site_fract_z
Y1 0.007 0.993 0.750
Y2 0.297 0.703 0.602
Y3 0.297 0.703 0.898
Y4 0.703 0.297 0.102
Y5 0.703 0.297 0.398
Y6 0.993 0.007 0.250
Zn1 0.000 0.000 0.000
Zn2 0.000 0.000 0.500
Co1 0.294 0.706 0.250
Co2 0.412 0.588 0.098
Co3 0.412 0.588 0.402
Co4 0.588 0.412 0.598
Co5 0.588 0.412 0.902
Co6 0.706 0.294 0.750
# Formation energy (eV per formula unit): -1.81
# Energy (eV/atom): -6.26

# YZnCo2 PBE-GGA optimized geometry
data_YZnCo2
_symmetry_space_group_name_H-M 'P 1'
_symmetry_Int_Tables_number 1
_cell_length_a 5.082
_cell_length_b 5.082
_cell_length_c 5.082
_cell_angle_alpha 136.29
_cell_angle_beta 136.29
_cell_angle_gamma 63.53
loop_
_symmetry_equiv_pos_as_xyz
'x,y,z'
loop_
_atom_site_label
_atom_site_fract_x
_atom_site_fract_y
_atom_site_fract_z
Y1 0.000 0.000 0.000
Zn1 0.250 0.750 0.500
Co1 0.500 0.500 0.000
Co2 0.750 0.250 0.500
# Formation energy (eV per formula unit): 0.33
# Energy (eV/atom): -5.40

# Y2Zn3Co PBE-GGA optimized geometry
data_Y2Zn3Co
_symmetry_space_group_name_H-M 'P 1'
_symmetry_Int_Tables_number 1
_cell_length_a 5.427
_cell_length_b 5.427
_cell_length_c 6.937
_cell_angle_alpha 125.64
_cell_angle_beta 125.64
_cell_angle_gamma 46.09
loop_
_symmetry_equiv_pos_as_xyz
'x,y,z'
loop_
_atom_site_label
_atom_site_fract_x
_atom_site_fract_y
_atom_site_fract_z
Y1 0.000 0.000 0.000
Y2 0.109 0.109 0.613
Zn1 0.388 0.388 0.227
Zn2 0.713 0.713 0.018
Zn3 0.735 0.735 0.429
Co1 0.407 0.407 0.633
# Formation energy (eV per formula unit): -1.84
# Energy (eV/atom): -4.28

# YZnCo PBE-GGA optimized geometry
data_YZnCo
_symmetry_space_group_name_H-M 'P 1'
_symmetry_Int_Tables_number 1
_cell_length_a 11.841
_cell_length_b 3.933
_cell_length_c 6.952
_cell_angle_alpha 90.00
_cell_angle_beta 90.00
_cell_angle_gamma 90.00
loop_
_symmetry_equiv_pos_as_xyz
'x,y,z'
loop_
_atom_site_label
_atom_site_fract_x
_atom_site_fract_y
_atom_site_fract_z
Y1 0.044 0.000 0.250
Y2 0.250 0.000 0.635
Y3 0.456 0.000 0.250
Y4 0.544 0.000 0.750
Y5 0.750 0.000 0.365
Y6 0.956 0.000 0.750
Zn1 0.135 0.500 0.921
Zn2 0.250 0.500 0.287
Zn3 0.365 0.500 0.921
Zn4 0.635 0.500 0.079
Zn5 0.750 0.500 0.713
Zn6 0.865 0.500 0.079
Co1 0.090 0.500 0.547
Co2 0.250 0.000 0.050
Co3 0.410 0.500 0.547
Co4 0.590 0.500 0.453
Co5 0.750 0.000 0.950
Co6 0.910 0.500 0.453
# Formation energy (eV per formula unit): -0.81
# Energy (eV/atom): -5.22

# Y6ZnCo PBE-GGA optimized geometry
data_Y6ZnCo
_symmetry_space_group_name_H-M 'P 1'
_symmetry_Int_Tables_number 1
_cell_length_a 9.409
_cell_length_b 9.409
_cell_length_c 9.409
_cell_angle_alpha 149.45
_cell_angle_beta 149.45
_cell_angle_gamma 43.75
loop_
_symmetry_equiv_pos_as_xyz
'x,y,z'
loop_
_atom_site_label
_atom_site_fract_x
_atom_site_fract_y
_atom_site_fract_z
Y1 0.096 0.596 0.500
Y2 0.249 0.249 0.000
Y3 0.404 0.904 0.500
Y4 0.596 0.096 0.500
Y5 0.751 0.751 0.000
Y6 0.904 0.404 0.500
Zn1 0.000 0.000 0.000
Co1 0.500 0.500 0.000
# Formation energy (eV per formula unit): -0.64
# Energy (eV/atom): -5.98

# YZnCo2 PBE-GGA optimized geometry
data_YZnCo2
_symmetry_space_group_name_H-M 'P 1'
_symmetry_Int_Tables_number 1
_cell_length_a 4.937
_cell_length_b 4.937
_cell_length_c 2.925
_cell_angle_alpha 102.06
_cell_angle_beta 102.06
_cell_angle_gamma 109.81
loop_
_symmetry_equiv_pos_as_xyz
'x,y,z'
loop_
_atom_site_label
_atom_site_fract_x
_atom_site_fract_y
_atom_site_fract_z
Y1 0.000 0.000 0.000
Zn1 0.500 0.500 0.000
Co1 0.000 0.500 0.500
Co2 0.500 0.000 0.500
# Formation energy (eV per formula unit): 1.07
# Energy (eV/atom): -5.22

# YZn10Co2 PBE-GGA optimized geometry
data_YZn10Co2
_symmetry_space_group_name_H-M 'P 1'
_symmetry_Int_Tables_number 1
_cell_length_a 8.893
_cell_length_b 6.800
_cell_length_c 6.719
_cell_angle_alpha 82.27
_cell_angle_beta 49.26
_cell_angle_gamma 48.47
loop_
_symmetry_equiv_pos_as_xyz
'x,y,z'
loop_
_atom_site_label
_atom_site_fract_x
_atom_site_fract_y
_atom_site_fract_z
Y1 0.000 0.000 0.000
Zn1 0.000 0.500 0.000
Zn2 0.015 0.652 0.348
Zn3 0.282 0.507 0.493
Zn4 0.348 0.985 0.015
Zn5 0.493 0.718 0.282
Zn6 0.500 0.000 0.500
Zn7 0.507 0.282 0.718
Zn8 0.652 0.015 0.985
Zn9 0.718 0.493 0.507
Zn10 0.985 0.348 0.652
Co1 0.000 0.000 0.500
Co2 0.500 0.500 0.000
# Formation energy (eV per formula unit): -2.15
# Energy (eV/atom): -2.74

# Y4ZnCo PBE-GGA optimized geometry
data_Y4ZnCo
_symmetry_space_group_name_H-M 'P 1'
_symmetry_Int_Tables_number 1
_cell_length_a 7.461
_cell_length_b 7.461
_cell_length_c 6.089
_cell_angle_alpha 98.66
_cell_angle_beta 98.66
_cell_angle_gamma 110.19
loop_
_symmetry_equiv_pos_as_xyz
'x,y,z'
loop_
_atom_site_label
_atom_site_fract_x
_atom_site_fract_y
_atom_site_fract_z
Y1 0.065 0.729 0.964
Y2 0.211 0.377 0.591
Y3 0.271 0.935 0.536
Y4 0.377 0.211 0.091
Y5 0.623 0.789 0.909
Y6 0.729 0.065 0.464
Y7 0.789 0.623 0.409
Y8 0.935 0.271 0.036
Zn1 0.373 0.627 0.250
Zn2 0.627 0.373 0.750
Co1 0.002 0.998 0.750
Co2 0.998 0.002 0.250
# Formation energy (eV per formula unit): -1.05
# Energy (eV/atom): -5.88
# E above lowest polymorph (eV per atom): 0.000

# Y3ZnCo PBE-GGA optimized geometry
data_Y3ZnCo
_symmetry_space_group_name_H-M 'P 1'
_symmetry_Int_Tables_number 1
_cell_length_a 5.555
_cell_length_b 6.224
_cell_length_c 8.084
_cell_angle_alpha 72.88
_cell_angle_beta 81.70
_cell_angle_gamma 64.57
loop_
_symmetry_equiv_pos_as_xyz
'x,y,z'
loop_
_atom_site_label
_atom_site_fract_x
_atom_site_fract_y
_atom_site_fract_z
Y1 0.026 0.170 0.130
Y2 0.331 0.196 0.673
Y3 0.370 0.474 0.227
Y4 0.630 0.526 0.773
Y5 0.669 0.804 0.327
Y6 0.974 0.830 0.870
Zn1 0.149 0.769 0.506
Zn2 0.851 0.231 0.494
Co1 0.461 0.837 0.986
Co2 0.539 0.163 0.014
# Formation energy (eV per formula unit): -1.01
# Energy (eV/atom): -5.76
# E above lowest polymorph (eV per atom): 0.000